! PBE with a Hubbard U CrSnO2, optimized geometry; values from VASP
! DOS(E_F) ... 0.00 states/eV/f.u.
! Total magnetization ... 8.0 μB per cell
! DFT total energy ... -0.2482 hartree per atom
! Energy relative to the lowest polymorph listed for this composition ... 0.117 eV/atom
! Calculated density ... 4.6 g/cm3
! Space group ... No. 15
&SYSTEM
  ibrav = 0, nat = 8, ntyp = 3
/
ATOMIC_SPECIES
Cr 52.00 Cr.upf
Sn 118.71 Sn.upf
O 16.00 O.upf
CELL_PARAMETERS angstrom
2.785 -4.742 0.000
2.785 4.742 0.000
-0.419 0.000 5.545
ATOMIC_POSITIONS crystal
Cr 0.054 0.946 0.750
Cr 0.946 0.054 0.250
Sn 0.384 0.616 0.750
Sn 0.616 0.384 0.250
O 0.247 0.270 0.015
O 0.270 0.247 0.515
O 0.730 0.753 0.485
O 0.753 0.730 0.985